VASP calculation (GGA-PBE) on an optimized crystal structure of TeHS2.

Cell lengths 5.980, 5.980, 5.859 Å; angles 59.31, 59.31, 90.00 degrees
Fractional positions:
H1 0.500 0.500 0.000
H2 0.250 0.750 0.500
S1 0.544 0.125 0.250
S2 0.206 0.625 0.250
S3 0.375 0.456 0.750
S4 0.875 0.794 0.750
Te1 0.000 0.000 0.000
Te2 0.750 0.250 0.500

Calculated density: 4414 kg/m³
Final energy: -12.402 eV per formula unit
Crystal system: tetragonal
Total magnetic moment: 0.00 μB per formula unit